Entry 1:
# PBE-GGA Tb3HoEr, optimized geometry
# Distance to the lowest polymorph of the same formula (meV/atom): 0.0
# Density (Mg/m³): 8.46
# M_tot (μB per formula unit): 0.0
# Energy relative to the elements (eV/atom): 0.007
# Total energy (eV per atom): -4.599
data_Tb3HoEr
_chemical_formula_sum 'Tb6 Ho2 Er2'
_symmetry_space_group_name_H-M 'P 1 21/m 1'
_symmetry_Int_Tables_number 11
_cell_length_a 6.261
_cell_length_b 5.609
_cell_length_c 9.566
_cell_angle_alpha 90.00
_cell_angle_beta 109.09
_cell_angle_gamma 90.00
loop_
_symmetry_equiv_pos_as_xyz
'x,y,z'
'-x,-y,-z'
'-x,y+1/2,-z'
'x,-y+1/2,z'
loop_
_atom_site_label
_atom_site_fract_x
_atom_site_fract_y
_atom_site_fract_z
_atom_site_occupancy
Tb1 0.133 0.250 0.100 1
Tb2 0.268 0.750 0.701 1
Tb3 0.333 0.250 0.500 1
Ho1 0.066 0.750 0.299 1
Er1 0.466 0.750 0.099 1

---

Entry 2:
# PBE-GGA TbHo5Er3, optimized geometry
# Density (Mg/m³): 7.89
# M_tot (μB per formula unit): 0.0
# Energy relative to the elements (eV/atom): 0.496
# Total energy (eV per atom): -4.082
data_TbHo5Er3
_chemical_formula_sum 'Tb4 Ho20 Er12'
_symmetry_space_group_name_H-M 'C 1 2/m 1'
_symmetry_Int_Tables_number 12
_cell_length_a 15.893
_cell_length_b 8.698
_cell_length_c 11.647
_cell_angle_alpha 90.00
_cell_angle_beta 129.04
_cell_angle_gamma 90.00
loop_
_symmetry_equiv_pos_as_xyz
'x,y,z'
'-x,-y,-z'
'-x,y,-z'
'x,-y,z'
'x+1/2,y+1/2,z'
'-x+1/2,-y+1/2,-z'
'-x+1/2,y+1/2,-z'
'x+1/2,-y+1/2,z'
loop_
_atom_site_label
_atom_site_fract_x
_atom_site_fract_y
_atom_site_fract_z
_atom_site_occupancy
Tb1 0.137 0.000 0.352 1
Ho1 0.000 0.319 0.000 1
Ho2 0.057 0.500 0.401 1
Ho3 0.114 0.181 0.827 1
Ho4 0.154 0.500 0.972 1
Er1 0.000 0.000 0.000 1
Er2 0.000 0.000 0.500 1
Er3 0.226 0.500 0.293 1
Er4 0.245 0.500 0.805 1

---

Entry 3:
# PBE-GGA Tb4Ho6Er, optimized geometry
# Distance to the lowest polymorph of the same formula (meV/atom): 0.0
# Density (Mg/m³): 8.64
# M_tot (μB per formula unit): 0.0
# Energy relative to the elements (eV/atom): 0.129
# Total energy (eV per atom): -4.466
data_Tb4Ho6Er
_chemical_formula_sum 'Tb16 Ho24 Er4'
_symmetry_space_group_name_H-M 'C m c m'
_symmetry_Int_Tables_number 63
_symmetry_space_group_name_Hall '-C 2c 2'
_cell_length_a 5.654
_cell_length_b 9.567
_cell_length_c 25.466
_cell_angle_alpha 90.00
_cell_angle_beta 90.00
_cell_angle_gamma 90.00
loop_
_atom_site_label
_atom_site_fract_x
_atom_site_fract_y
_atom_site_fract_z
_atom_site_occupancy
Tb1 0.000 0.028 0.121 1
Tb2 0.000 0.343 0.043 1
Ho1 0.000 0.000 0.000 1
Ho2 0.000 0.021 0.250 1
Ho3 0.000 0.311 0.605 1
Ho4 0.000 0.356 0.182 1
Er1 0.000 0.313 0.750 1